No. 1
The following is a meta-GGA SCAN calculation of ScHgBr at its PBEsol-relaxed geometry, from Alexandria.

Summary:
ΔE to the lowest computed polymorph, meV/atom: 783.1

Cell lengths 4.876, 4.876, 4.876 Å; angles 60.00, 60.00, 60.00 degrees
Atoms (fractional coordinates):
1 Br 0.500 0.500 0.500
2 Hg 0.250 0.250 0.250
3 Sc 0.000 0.000 0.000

No. 2
The following is a meta-GGA SCAN calculation of LiCaRu2 at its PBEsol-relaxed geometry, from Alexandria.

Summary:
ΔE to the lowest computed polymorph, meV/atom: 194.3
Calculated formation energy, meV per atom: 442

Cell lengths 2.810, 4.968, 5.183 Å; angles 118.64, 90.00, 90.00 degrees
Atoms (fractional coordinates):
1 Ca 0.500 0.000 0.000
2 Li 0.500 0.500 0.000
3 Ru 0.000 0.500 0.500
4 Ru 0.000 0.000 0.500

No. 3
The following is a meta-GGA SCAN calculation of AlICl6 at its PBEsol-relaxed geometry, from Alexandria.

Summary:
Electronic total energy, eV per atom: -12.5176

Cell lengths 6.088, 7.145, 11.206 Å; angles 90.00, 90.00, 99.11 degrees
Atoms (fractional coordinates):
1 Al 0.583 0.513 0.093
2 Al 0.417 0.487 0.593
3 Cl 0.276 0.012 0.202
4 Cl 0.724 0.988 0.702
5 Cl 0.779 0.977 0.366
6 Cl 0.221 0.023 0.866
7 Cl 0.704 0.798 0.049
8 Cl 0.296 0.202 0.549
9 Cl 0.220 0.496 0.105
10 Cl 0.780 0.504 0.605
11 Cl 0.333 0.692 0.472
12 Cl 0.667 0.308 0.972
13 Cl 0.696 0.450 0.273
14 Cl 0.304 0.550 0.773
15 I 0.000 0.198 0.244
16 I 0.000 0.802 0.744

No. 4
The following is a meta-GGA SCAN calculation of Y4SiCl at its PBEsol-relaxed geometry, from Alexandria.

Summary:
Electronic total energy, eV per atom: -21.2295

Cell lengths 6.084, 6.084, 6.084 Å; angles 60.00, 60.00, 60.00 degrees
Atoms (fractional coordinates):
1 Cl 0.750 0.750 0.750
2 Si 0.000 0.000 0.000
3 Y 0.373 0.373 0.373
4 Y 0.373 0.373 0.881
5 Y 0.881 0.373 0.373
6 Y 0.373 0.881 0.373

No. 5
The following is a meta-GGA SCAN calculation of Te3PW at its PBEsol-relaxed geometry, from Alexandria.

Summary:
Electronic total energy, eV per atom: -36.9349

Cell lengths 5.039, 5.039, 5.039 Å; angles 90.00, 90.00, 90.00 degrees
Atoms (fractional coordinates):
1 P 0.000 0.000 0.000
2 Te 0.000 0.500 0.000
3 Te 0.000 0.000 0.500
4 Te 0.500 0.000 0.000
5 W 0.500 0.500 0.500

No. 6
The following is a meta-GGA SCAN calculation of Na2CoC at its PBEsol-relaxed geometry, from Alexandria.

Summary:
Calculated formation energy, meV per atom: 1512

Cell lengths 4.350, 4.350, 4.350 Å; angles 60.00, 60.00, 60.00 degrees
Atoms (fractional coordinates):
1 Na 0.250 0.250 0.250
2 Na 0.750 0.750 0.750
3 C 0.000 0.000 0.000
4 Co 0.500 0.500 0.500

No. 7
The following is a meta-GGA SCAN calculation of ScSeBr at its PBEsol-relaxed geometry, from Alexandria.

Summary:
Electronic total energy, eV per atom: -19.8127

Cell lengths 3.801, 3.801, 6.292 Å; angles 90.00, 90.00, 120.00 degrees
Atoms (fractional coordinates):
1 Sc 0.333 0.667 0.649
2 Br 0.000 0.000 0.920
3 Se 0.667 0.333 0.430

No. 8
The following is a meta-GGA SCAN calculation of Cd2Cu at its PBEsol-relaxed geometry, from Alexandria.

Summary:
Calculated formation energy, meV per atom: 106

Cell lengths 2.958, 2.958, 7.045 Å; angles 77.88, 77.88, 60.00 degrees
Atoms (fractional coordinates):
1 Cu 0.000 0.000 0.000
2 Cd 0.230 0.230 0.309
3 Cd 0.436 0.436 0.691